[1]
MgTl5 | PBE | relaxed

Cell lengths 6.2240, 6.2240, 5.9820 Å; angles 90.00, 90.00, 120.00 degrees
Space group P6/mmm (No. 191)
Unique sites:
Mg1 0.0000 0.0000 0.0000 x1
Tl1 0.0000 0.5000 0.5000 x3
Tl2 0.3333 0.6667 0.0000 x2

Computed properties:
ΔH_f (0 K): 0.20 eV/atom

[2]
NaTaBiSb | PBE | relaxed

Cell lengths 6.204, 3.626, 9.485 Å; angles 90.00, 102.36, 90.00 degrees
Space group Cm (No. 8)
Unique sites:
Na1 0.000 0.000 0.000 x2
Ta1 0.346 0.500 0.527 x2
Bi1 0.437 0.000 0.300 x2
Sb1 0.247 0.000 0.732 x2

Computed properties:
Excess energy over the best structure of this formula in the dataset: 0.009 eV per atom

[3]
TbHoAsP | PBE | relaxed

Cell lengths 4.066, 4.066, 5.745 Å; angles 90.00, 90.00, 90.00 degrees
Space group P4/mmm (No. 123)
Unique sites:
Tb1 0.000 0.000 0.000 x1
Ho1 0.500 0.500 0.500 x1
As1 0.500 0.500 0.000 x1
P1 0.000 0.000 0.500 x1

Computed properties:
ΔH_f (0 K): -1.56 eV/atom

[4]
ReWSe2 | PBE | relaxed

Cell lengths 3.003, 3.003, 8.389 Å; angles 90.00, 90.00, 90.00 degrees
Space group P4mm (No. 99)
Unique sites:
Re1 0.000 0.000 0.000 x1
W1 0.500 0.500 0.767 x1
Se1 0.000 0.000 0.585 x1
Se2 0.500 0.500 0.176 x1

Computed properties:
Excess energy over the best structure of this formula in the dataset: 0.005 eV per atom

[5]
LiNdZn11 | PBE | relaxed

Cell lengths 5.239, 12.595, 6.846 Å; angles 90.00, 112.35, 90.00 degrees
Space group C2/m (No. 12)
Unique sites:
Li1 0.000 0.000 0.000 x2
Nd1 0.000 0.500 0.500 x2
Zn1 0.000 0.500 0.000 x2
Zn2 0.110 0.110 0.724 x8
Zn3 0.187 0.323 0.856 x8
Zn4 0.250 0.250 0.500 x4

Computed properties:
ΔH_f (0 K): -0.20 eV/atom

[6]
Cs4NpO4 | PBE | relaxed

Cell lengths 7.329, 7.329, 12.683 Å; angles 90.00, 90.00, 90.00 degrees
Space group I-42m (No. 121)
Unique sites:
Cs1 0.000 0.000 0.208 x4
Cs2 0.000 0.500 0.000 x4
Np1 0.000 0.000 0.500 x2
O1 0.158 0.158 0.602 x8

Computed properties:
Excess energy over the best structure of this formula in the dataset: 0.000 eV per atom

[7]
V3AgW | PBE | relaxed

Cell lengths 4.659, 4.659, 4.659 Å; angles 90.00, 90.00, 90.00 degrees
Space group Pm-3m (No. 221)
Unique sites:
V1 0.000 0.000 0.500 x3
Ag1 0.000 0.000 0.000 x1
W1 0.500 0.500 0.500 x1

Computed properties:
Excess energy over the best structure of this formula in the dataset: 0.769 eV per atom
ΔH_f (0 K): 2.16 eV/atom

[8]
BaHf2RuO8 | PBE | relaxed

Cell lengths 4.914, 5.044, 6.789 Å; angles 89.88, 89.86, 86.93 degrees
Space group P-1 (No. 2)
Unique sites:
Ba1 0.000 0.000 0.000 x1
Hf1 0.499 0.500 0.250 x2
Ru1 0.000 0.000 0.500 x1
O1 0.221 0.808 0.691 x2
O2 0.222 0.809 0.309 x2
O3 0.277 0.299 0.500 x2
O4 0.305 0.373 0.001 x2

[9]
La6FeP2I3 | PBE | relaxed

Cell lengths 7.558, 12.764, 8.264 Å; angles 90.00, 108.56, 90.00 degrees
Space group C2/m (No. 12)
Unique sites:
La1 0.214 0.152 0.183 x8
La2 0.231 0.500 0.201 x4
Fe1 0.000 0.000 0.000 x2
P1 0.000 0.331 0.000 x4
I1 0.000 0.174 0.500 x4
I2 0.000 0.500 0.500 x2

[10]
AcPr10Ho6 | PBE | relaxed

Cell lengths 9.9724, 9.9724, 7.0012 Å; angles 90.00, 90.00, 120.00 degrees
Space group P-31m (No. 162)
Unique sites:
Ac1 0.0000 0.0000 0.0000 x1
Pr1 0.0000 0.2834 0.3277 x6
Pr2 0.3333 0.6667 0.0000 x2
Pr3 0.3333 0.6667 0.5000 x2
Ho1 0.0000 0.3677 0.8181 x6

Computed properties:
ΔH_f (0 K): 0.13 eV/atom

[11]
PaNiOs | PBE | relaxed

Cell lengths 4.846, 5.480, 7.500 Å; angles 90.00, 90.00, 90.00 degrees
Space group Imma (No. 74)
Unique sites:
Pa1 0.000 0.250 0.127 x4
Ni1 0.250 0.250 0.750 x4
Os1 0.000 0.000 0.500 x4

Computed properties:
Excess energy over the best structure of this formula in the dataset: 0.000 eV per atom
ΔH_f (0 K): -0.41 eV/atom

[12]
ZnGa2WAu | PBE | relaxed

Cell lengths 4.834, 4.834, 4.804 Å; angles 90.00, 90.00, 90.00 degrees
Space group P4/mmm (No. 123)
Unique sites:
Zn1 0.000 0.000 0.000 x1
Ga1 0.000 0.500 0.500 x2
W1 0.500 0.500 0.000 x1
Au1 0.000 0.000 0.500 x1

Computed properties:
ΔH_f (0 K): 1.20 eV/atom

no.,electronic total energy (eV per atom)
1,-2.0355
2,-5.3046
3,-6.3796
4,-8.0801
5,-1.7939
6,-5.7245
7,-6.4687
8,-8.1938
9,-5.5603
10,-4.5349
11,-9.2439
12,-3.5102